Entry 1:
Computed, not measured: crystalline Th6FeSn at its relaxed geometry at the PBE level of DFT.

Lattice parameters (Å, degrees): 6.4069 8.0937 6.3917 50.72 78.73 72.01
Fractional coordinates of all 8 atoms:
1 Th 0.7940 0.5890 0.6155
2 Th 0.7940 0.2045 0.3845
3 Th 0.2060 0.7955 0.6155
4 Th 0.2060 0.4110 0.3845
5 Th 0.5908 0.7941 0.0000
6 Th 0.4092 0.2059 0.0000
7 Fe 0.5000 0.5000 0.0000
8 Sn 0.0000 0.0000 0.0000

Formation energy, meV per atom: -44
Symmetry: C2/m

Entry 2:
Computed, not measured: crystalline RbMg5Cd7 at its relaxed geometry at the PBE level of DFT.

Lattice parameters (Å, degrees): 6.0970 7.8719 7.8719 82.32 67.22 67.22
Fractional coordinates of all 13 atoms:
1 Rb 0.9980 0.0020 0.0020
2 Mg 0.4991 0.0018 0.4957
3 Mg 0.0034 0.0018 0.4957
4 Mg 0.4991 0.4957 0.0018
5 Mg 0.0034 0.4957 0.0018
6 Mg 0.7280 0.7720 0.7720
7 Cd 0.6460 0.3540 0.3540
8 Cd 0.3456 0.6544 0.6544
9 Cd 0.9975 0.3541 0.6508
10 Cd 0.9975 0.6508 0.3541
11 Cd 0.2748 0.2252 0.2252
12 Cd 0.5038 0.7787 0.2138
13 Cd 0.5038 0.2138 0.7787

Formation energy, meV per atom: -48
Symmetry: Imm2

Entry 3:
Computed, not measured: crystalline ErThAs2 at its relaxed geometry at the PBE level of DFT.

Lattice parameters (Å, degrees): 4.1259 4.1259 7.5049 74.05 74.05 60.00
Fractional coordinates of all 4 atoms:
1 Er 0.4960 0.4960 0.5122
2 Th 0.6698 0.6698 0.9905
3 As 0.0859 0.0859 0.7423
4 As 0.2483 0.2483 0.2550

Formation energy, meV per atom: -1297
Energy above the most stable polymorph in this dataset, eV/f.u.: 0.63
Symmetry: R3m

Entry 4:
Computed, not measured: crystalline Cr4Fe at its relaxed geometry at the PBE level of DFT.

Lattice parameters (Å, degrees): 5.5801 5.5801 5.5801 141.48 141.48 55.62
Site moments in Bohr magnetons follow the coordinates.
Fractional coordinates of all 5 atoms:
1 Cr 0.2500 0.7500 0.5000  -0.06
2 Cr 0.6141 0.6141 0.0000  -0.14
3 Cr 0.3859 0.3859 0.0000  -0.14
4 Cr 0.7500 0.2500 0.5000  -0.06
5 Fe 0.0000 0.0000 0.0000  2.91

Formation energy, meV per atom: 799
Energy above the most stable polymorph in this dataset, eV/f.u.: 3.75
Symmetry: I4/mmm

Entry 5:
Computed, not measured: crystalline KAs2Au at its relaxed geometry at the PBE level of DFT.

Lattice parameters (Å, degrees): 5.5892 5.5892 5.5892 133.71 107.91 90.09
Fractional coordinates of all 4 atoms:
1 As 0.9140 0.9140 0.0000
2 As 0.5860 0.5860 0.0000
3 Au 0.7500 0.2500 0.5000
4 K 0.2500 0.7500 0.5000

Formation energy, meV per atom: -113
Energy above the most stable polymorph in this dataset, eV/f.u.: 0.18
Symmetry: Immm

Entry 6:
Computed, not measured: crystalline Nd2Er4TmMg at its relaxed geometry at the PBE level of DFT.

Lattice parameters (Å, degrees): 4.9494 4.9627 11.2247 63.72 90.00 90.00
Fractional coordinates of all 8 atoms:
1 Nd 0.0000 0.0000 0.0000
2 Nd 0.5000 0.0000 0.5000
3 Er 0.0000 0.7501 0.7498
4 Er 0.0000 0.2499 0.2502
5 Er 0.5000 0.7491 0.2506
6 Er 0.5000 0.2509 0.7494
7 Tm 0.0000 0.5000 0.5000
8 Mg 0.5000 0.5000 0.0000

Formation energy, meV per atom: 34
Symmetry: Pmmm

Entry 7:
Computed, not measured: crystalline LaHoPd4 at its relaxed geometry at the PBE level of DFT.

Lattice parameters (Å, degrees): 4.2483 5.7917 10.1923 90.00 102.03 90.00
Fractional coordinates of all 12 atoms:
1 La 0.7197 0.2500 0.4395
2 La 0.2803 0.7500 0.5605
3 Ho 0.4259 0.2500 0.8518
4 Ho 0.5741 0.7500 0.1482
5 Pd 0.0000 0.0000 0.0000
6 Pd 0.0000 0.5000 0.0000
7 Pd 0.1436 0.0051 0.2872
8 Pd 0.8564 0.5051 0.7128
9 Pd 0.1436 0.4949 0.2872
10 Pd 0.8564 0.9949 0.7128
11 Pd 0.5706 0.2500 0.1412
12 Pd 0.4294 0.7500 0.8588

Formation energy, meV per atom: -865
Energy above the most stable polymorph in this dataset, eV/f.u.: 0.00
Symmetry: Cmcm

Entry 8:
Computed, not measured: crystalline TiCo3Ge at its relaxed geometry at the PBE level of DFT.

Lattice parameters (Å, degrees): 4.2618 4.2618 4.2618 90.00 90.00 90.00
Site moments in Bohr magnetons follow the coordinates.
Fractional coordinates of all 5 atoms:
1 Ge 0.0000 0.0000 0.0000  -0.04
2 Co 0.0000 0.5000 0.0000  1.16
3 Co 0.0000 0.0000 0.5000  1.16
4 Co 0.5000 0.0000 0.0000  1.33
5 Ti 0.5000 0.5000 0.5000  -0.44

Formation energy, meV per atom: 617
Energy above the most stable polymorph in this dataset, eV/f.u.: 3.17
Symmetry: Pm-3m

Entry 9:
Computed, not measured: crystalline CrOsSe2 at its relaxed geometry at the PBE level of DFT.

Lattice parameters (Å, degrees): 4.1806 4.1806 5.2546 78.01 78.01 42.29
Site moments in Bohr magnetons follow the coordinates.
Fractional coordinates of all 4 atoms:
1 Cr 0.7500 0.7500 0.7500  0.79
2 Os 0.2500 0.2500 0.2500  -0.03
3 Se 0.0122 0.0122 0.9895  -0.03
4 Se 0.4878 0.4878 0.5105  -0.03

Energy above the most stable polymorph in this dataset, eV/f.u.: 2.05
Symmetry: C2/m

Entry 10:
Computed, not measured: crystalline SiMo3H at its relaxed geometry at the PBE level of DFT.

Lattice parameters (Å, degrees): 3.0935 8.4481 6.2044 76.90 104.38 123.36
Fractional coordinates of all 10 atoms:
1 Si 0.7270 0.8003 0.5536
2 Si 0.2730 0.1997 0.4464
3 Mo 0.1745 0.3944 0.6665
4 Mo 0.7976 0.3210 0.1310
5 Mo 0.2265 0.0387 0.8354
6 Mo 0.8255 0.6056 0.3335
7 Mo 0.7735 0.9613 0.1646
8 Mo 0.2024 0.6790 0.8690
9 H 0.2937 0.3710 0.9721
10 H 0.7063 0.6290 0.0279

Energy above the most stable polymorph in this dataset, eV/f.u.: 0.00
Symmetry: C2/m

Entry 11:
Computed, not measured: crystalline Pm6Nd7Er16 at its relaxed geometry at the PBE level of DFT.

Lattice parameters (Å, degrees): 11.2311 11.2311 11.2311 60.00 60.00 60.00
Fractional coordinates of all 29 atoms:
1 Pm 0.2618 0.7382 0.2618
2 Pm 0.7382 0.2618 0.7382
3 Pm 0.7382 0.2618 0.2618
4 Pm 0.2618 0.7382 0.7382
5 Pm 0.7382 0.7382 0.2618
6 Pm 0.2618 0.2618 0.7382
7 Nd 0.0000 0.0000 0.0000
8 Nd 0.5000 0.0000 0.5000
9 Nd 0.0000 0.5000 0.0000
10 Nd 0.0000 0.5000 0.5000
11 Nd 0.5000 0.0000 0.0000
12 Nd 0.0000 0.0000 0.5000
13 Nd 0.5000 0.5000 0.0000
14 Er 0.8705 0.8705 0.3884
15 Er 0.8705 0.8705 0.8705
16 Er 0.8705 0.3884 0.8705
17 Er 0.3884 0.8705 0.8705
18 Er 0.1295 0.1295 0.1295
19 Er 0.1295 0.1295 0.6116
20 Er 0.1295 0.6116 0.1295
21 Er 0.6116 0.1295 0.1295
22 Er 0.6508 0.6508 0.0476
23 Er 0.6508 0.6508 0.6508
24 Er 0.6508 0.0476 0.6508
25 Er 0.0476 0.6508 0.6508
26 Er 0.3492 0.3492 0.3492
27 Er 0.3492 0.3492 0.9524
28 Er 0.3492 0.9524 0.3492
29 Er 0.9524 0.3492 0.3492

Formation energy, meV per atom: 239
Symmetry: Fm-3m

Entry 12:
Computed, not measured: crystalline Hf4As3N at its relaxed geometry at the PBE level of DFT.

Lattice parameters (Å, degrees): 5.1370 5.5851 10.3050 90.00 90.00 90.00
Fractional coordinates of all 16 atoms:
1 Hf 0.0643 0.7847 0.0000
2 Hf 0.5643 0.1736 0.0000
3 Hf 0.0645 0.1886 0.2102
4 Hf 0.5645 0.8114 0.2898
5 Hf 0.0643 0.8264 0.5000
6 Hf 0.5643 0.2153 0.5000
7 Hf 0.5645 0.8114 0.7102
8 Hf 0.0645 0.1886 0.7898
9 As 0.5643 0.6775 0.0000
10 As 0.0645 0.7004 0.2535
11 As 0.5645 0.2996 0.2465
12 As 0.0643 0.3225 0.5000
13 As 0.5645 0.2996 0.7535
14 As 0.0645 0.7004 0.7465
15 N 0.0645 0.1715 0.0000
16 N 0.5645 0.8285 0.5000

Total DFT energy (no corrections), Ry/atom: -0.639
Symmetry: Pmmn

Entry 13:
Computed, not measured: crystalline Zr3NbHg at its relaxed geometry at the PBE level of DFT.

Lattice parameters (Å, degrees): 5.2073 5.2073 5.2073 90.00 90.00 90.00
Site moments in Bohr magnetons follow the coordinates.
Fractional coordinates of all 5 atoms:
1 Nb 0.5000 0.5000 0.5000  1.58
2 Hg 0.0000 0.0000 0.0000  0.06
3 Zr 0.0000 0.5000 0.0000  0.17
4 Zr 0.0000 0.0000 0.5000  0.20
5 Zr 0.5000 0.0000 0.0000  -0.02

Formation energy, meV per atom: 1342
Energy above the most stable polymorph in this dataset, eV/f.u.: 2.59
Symmetry: Pm-3m

Entry 14:
Computed, not measured: crystalline SrBr at its relaxed geometry at the PBE level of DFT.

Lattice parameters (Å, degrees): 4.1473 4.1473 4.6105 90.00 90.00 120.00
Site moments in Bohr magnetons follow the coordinates.
Fractional coordinates of all 2 atoms:
1 Sr 0.6667 0.3333 0.5000  0.18
2 Br 0.0000 0.0000 0.0000  0.03

Total DFT energy (no corrections), Ry/atom: -0.225
Symmetry: P-6m2

Entry 15:
Computed, not measured: crystalline CeTh3N4 at its relaxed geometry at the PBE level of DFT.

Lattice parameters (Å, degrees): 5.1518 5.1518 5.1518 90.00 90.00 90.00
Site moments in Bohr magnetons follow the coordinates.
Fractional coordinates of all 8 atoms:
1 Ce 0.0000 0.0000 0.0000  0.28
2 Th 0.0000 0.5000 0.5000  0.03
3 Th 0.5000 0.0000 0.5000  0.03
4 Th 0.5000 0.5000 0.0000  0.03
5 N 0.5000 0.0000 0.0000  -0.01
6 N 0.0000 0.5000 0.0000  -0.01
7 N 0.0000 0.0000 0.5000  -0.01
8 N 0.5000 0.5000 0.5000  0.00

Energy above the most stable polymorph in this dataset, eV/f.u.: 0.03
Symmetry: Pm-3m

Entry 16:
Computed, not measured: crystalline NaCaHRu2 at its relaxed geometry at the PBE level of DFT.

Lattice parameters (Å, degrees): 5.1389 3.4668 5.1389 90.00 90.00 90.00
Site moments in Bohr magnetons follow the coordinates.
Fractional coordinates of all 5 atoms:
1 Ru 0.0000 0.0000 0.5000  1.43
2 Ru 0.5000 0.0000 0.0000  1.55
3 Ca 0.5000 0.5000 0.5000  -0.05
4 H 0.0000 0.5000 0.0000  0.04
5 Na 0.0000 0.0000 0.0000  0.01

Total DFT energy (no corrections), Ry/atom: -0.260
Symmetry: P4/mmm

Entry 17:
Computed, not measured: crystalline CsK3Hg7 at its relaxed geometry at the PBE level of DFT.

Lattice parameters (Å, degrees): 4.8286 14.1274 12.9187 90.00 90.00 99.84
Fractional coordinates of all 22 atoms:
1 Cs 0.9798 0.9596 0.2500
2 Cs 0.0202 0.0404 0.7500
3 K 0.1455 0.2910 0.4289
4 K 0.8545 0.7090 0.5711
5 K 0.2217 0.4433 0.7500
6 K 0.7783 0.5567 0.2500
7 K 0.1455 0.2910 0.0711
8 K 0.8545 0.7090 0.9289
9 Hg 0.3964 0.7928 0.7500
10 Hg 0.6036 0.2072 0.2500
11 Hg 0.5496 0.0993 0.4578
12 Hg 0.4504 0.9007 0.5422
13 Hg 0.4504 0.9007 0.9578
14 Hg 0.5496 0.0993 0.0422
15 Hg 0.3762 0.7525 0.3652
16 Hg 0.6238 0.2475 0.6348
17 Hg 0.2758 0.5517 0.4574
18 Hg 0.7242 0.4483 0.5426
19 Hg 0.7242 0.4483 0.9574
20 Hg 0.2758 0.5517 0.0426
21 Hg 0.3762 0.7525 0.1348
22 Hg 0.6238 0.2475 0.8652

Formation energy, meV per atom: -242
Symmetry: Cmcm

Entry 18:
Computed, not measured: crystalline Ba2TlGe2 at its relaxed geometry at the PBE level of DFT.

Lattice parameters (Å, degrees): 4.8424 4.1957 8.5502 104.20 90.00 90.00
Fractional coordinates of all 5 atoms:
1 Ba 0.5000 0.6319 0.2637
2 Ba 0.5000 0.3681 0.7363
3 Tl 0.0000 0.0000 0.0000
4 Ge 0.0000 0.2050 0.4101
5 Ge 0.0000 0.7950 0.5899

Formation energy, meV per atom: -495
Symmetry: Cmmm

Number 1: magnetic moment 0.00 μB per formula unit. Number 2: magnetic moment 0.00 μB per formula unit. Number 3: magnetic moment 0.00 μB per formula unit. Number 4: magnetic moment 2.45 μB per formula unit. Number 5: magnetic moment 0.00 μB per formula unit. Number 6: magnetic moment 0.02 μB per formula unit. Number 7: magnetic moment 0.00 μB per formula unit. Number 8: magnetic moment 2.99 μB per formula unit. Number 9: magnetic moment 0.73 μB per formula unit. Number 10: magnetic moment 0.00 μB per formula unit. Number 11: magnetic moment 0.00 μB per formula unit. Number 12: magnetic moment 0.00 μB per formula unit. Number 13: magnetic moment 2.95 μB per formula unit. Number 14: magnetic moment 0.83 μB per formula unit. Number 15: magnetic moment 0.47 μB per formula unit. Number 16: magnetic moment 3.15 μB per formula unit. Number 17: magnetic moment 0.00 μB per formula unit. Number 18: magnetic moment 0.00 μB per formula unit.